Model one:
Compound: TbNd4Tm5
Source: Alexandria via LeMat-Bulk
Functional: GGA-PBE
Structure: optimized geometry

Symmetry = P4/mmm, No. 123
Crystal system = tetragonal
M_tot = 0.000 μB per formula unit

Geometry as POSCAR:
```
TbNd4Tm5
1.0
3.590 0.000 0.000
0.000 3.590 0.000
0.000 0.000 24.966
Tb Nd Tm
1 4 5
direct
0.000 0.000 0.000
0.000 0.000 0.199
0.000 0.000 0.399
0.000 0.000 0.601
0.000 0.000 0.801
0.500 0.500 0.098
0.500 0.500 0.299
0.500 0.500 0.500
0.500 0.500 0.701
0.500 0.500 0.902
```

Model two:
Compound: TbNd4Tm5
Source: Alexandria via LeMat-Bulk
Functional: GGA-PBE
Structure: optimized geometry

Symmetry = P-1, No. 2
Crystal system = triclinic
M_tot = 0.000 μB per formula unit

Geometry as POSCAR:
```
TbNd4Tm5
1.0
3.511 0.000 0.000
1.746 8.524 0.000
0.000 0.027 11.272
Tb Nd Tm
1 4 5
direct
0.000 0.000 0.000
0.157 0.683 0.250
0.467 0.066 0.251
0.533 0.934 0.749
0.843 0.317 0.750
0.000 0.000 0.500
0.327 0.347 0.049
0.328 0.346 0.454
0.672 0.654 0.546
0.673 0.653 0.951
```

Most stable: model one (next structure +175 meV/atom)

Model one:
Compound: Tb2Nd6Tm3
Source: Alexandria via LeMat-Bulk
Functional: GGA-PBE
Structure: optimized geometry

Symmetry = P-1, No. 2
Crystal system = triclinic
M_tot = 0.000 μB per formula unit

Geometry as POSCAR:
```
Tb2Nd6Tm3
1.0
6.241 0.000 0.000
-2.065 7.768 0.000
-1.039 -2.776 7.518
Tb Nd Tm
2 6 3
direct
0.229 0.411 0.047
0.771 0.589 0.953
0.047 0.682 0.409
0.136 0.046 0.231
0.320 0.771 0.865
0.680 0.229 0.135
0.864 0.954 0.769
0.953 0.318 0.591
0.410 0.138 0.682
0.500 0.500 0.500
0.590 0.862 0.318
```

Model two:
Compound: Tb2Nd6Tm3
Source: Alexandria via LeMat-Bulk
Functional: GGA-PBE
Structure: optimized geometry

Symmetry = I4/mmm, No. 139
Crystal system = tetragonal
M_tot = 0.000 μB per formula unit

Geometry as POSCAR:
```
Tb2Nd6Tm3
1.0
-2.377 2.377 16.982
2.377 -2.377 16.982
2.377 2.377 -16.982
Tb Nd Tm
2 6 3
direct
0.045 0.045 0.000
0.955 0.955 0.000
0.121 0.621 0.500
0.205 0.205 0.000
0.379 0.879 0.500
0.621 0.121 0.500
0.795 0.795 0.000
0.879 0.379 0.500
0.306 0.306 0.000
0.500 0.500 0.000
0.694 0.694 0.000
```

Most stable: model one (next structure +284 meV/atom)

Model one:
Compound: Tb2NdTm6
Source: Alexandria via LeMat-Bulk
Functional: GGA-PBE
Structure: optimized geometry

Symmetry = P4_2/mnm, No. 136
Crystal system = tetragonal
M_tot = 0.000 μB per formula unit

Geometry as POSCAR:
```
Tb2NdTm6
1.0
10.566 0.000 0.000
0.000 10.566 0.000
0.000 0.000 4.996
Tb Nd Tm
4 2 12
direct
0.168 0.168 0.000
0.332 0.668 0.500
0.668 0.332 0.500
0.832 0.832 0.000
0.000 0.000 0.500
0.500 0.500 0.000
0.001 0.335 0.500
0.165 0.501 0.000
0.168 0.832 0.000
0.332 0.332 0.500
0.335 0.001 0.500
0.499 0.835 0.000
0.501 0.165 0.000
0.665 0.999 0.500
0.668 0.668 0.500
0.832 0.168 0.000
0.835 0.499 0.000
0.999 0.665 0.500
```

Model two:
Compound: Tb2NdTm6
Source: Alexandria via LeMat-Bulk
Functional: GGA-PBE
Structure: optimized geometry

Symmetry = P-6m2, No. 187
Crystal system = hexagonal
M_tot = 1.250 μB per formula unit

Geometry as POSCAR:
```
Tb2NdTm6
1.0
3.567 0.000 0.000
-1.783 3.089 0.000
0.000 0.000 25.860
Tb Nd Tm
2 1 6
direct
0.000 0.000 0.172
0.000 0.000 0.828
0.667 0.333 0.500
0.000 0.000 0.387
0.000 0.000 0.613
0.667 0.333 0.064
0.667 0.333 0.281
0.667 0.333 0.719
0.667 0.333 0.936
```

Most stable: model one (next structure +32 meV/atom)

Model one:
Compound: Tb2Nd5Tm2
Source: Alexandria via LeMat-Bulk
Functional: GGA-PBE
Structure: optimized geometry

Symmetry = Ima2, No. 46
Crystal system = orthorhombic
M_tot = 0.000 μB per formula unit

Geometry as POSCAR:
```
Tb2Nd5Tm2
1.0
-7.578 6.454 3.107
7.578 -6.454 3.107
7.578 6.454 -3.107
Tb Nd Tm
4 10 4
direct
0.000 0.000 0.000
0.000 0.500 0.500
0.078 0.885 0.693
0.191 0.385 0.307
0.217 0.366 0.753
0.217 0.964 0.350
0.254 0.713 0.829
0.254 0.925 0.041
0.484 0.409 0.574
0.613 0.464 0.247
0.613 0.866 0.650
0.835 0.909 0.426
0.884 0.213 0.959
0.884 0.425 0.171
0.514 0.700 0.086
0.514 0.929 0.314
0.615 0.200 0.686
0.615 0.429 0.914
```

Model two:
Compound: Tb2Nd5Tm2
Source: Alexandria via LeMat-Bulk
Functional: GGA-PBE
Structure: optimized geometry

Symmetry = C2/m, No. 12
Crystal system = monoclinic
M_tot = 0.000 μB per formula unit

Geometry as POSCAR:
```
Tb2Nd5Tm2
1.0
7.665 -2.554 0.000
7.665 2.554 0.000
-2.580 0.000 7.662
Tb Nd Tm
2 5 2
direct
0.109 0.109 0.165
0.891 0.891 0.835
0.000 0.000 0.500
0.223 0.223 0.836
0.334 0.334 0.499
0.666 0.666 0.501
0.777 0.777 0.164
0.446 0.446 0.163
0.554 0.554 0.837
```

Most stable: model two (next structure +152 meV/atom)

Model one:
Compound: Tb2Nd3Tm8
Source: Alexandria via LeMat-Bulk
Functional: GGA-PBE
Structure: optimized geometry

Symmetry = P-1, No. 2
Crystal system = triclinic
M_tot = 0.000 μB per formula unit

Geometry as POSCAR:
```
Tb2Nd3Tm8
1.0
6.134 0.000 0.000
1.038 6.063 0.000
2.068 -0.340 10.993
Tb Nd Tm
2 3 8
direct
0.116 0.230 0.038
0.884 0.770 0.962
0.269 0.538 0.421
0.500 0.000 0.500
0.731 0.462 0.579
0.037 0.075 0.343
0.192 0.387 0.735
0.346 0.692 0.113
0.423 0.848 0.811
0.577 0.152 0.189
0.654 0.308 0.887
0.808 0.613 0.265
0.963 0.925 0.657
```

Model two:
Compound: Tb2Nd3Tm8
Source: Alexandria via LeMat-Bulk
Functional: GGA-PBE
Structure: optimized geometry

Symmetry = C2/m, No. 12
Crystal system = monoclinic
M_tot = 0.000 μB per formula unit

Geometry as POSCAR:
```
Tb2Nd3Tm8
1.0
10.024 -3.835 0.000
10.024 3.835 0.000
-0.004 0.000 5.582
Tb Nd Tm
2 3 8
direct
0.241 0.241 0.499
0.759 0.759 0.501
0.000 0.000 0.500
0.293 0.707 0.000
0.707 0.293 0.000
0.135 0.135 0.000
0.181 0.599 0.500
0.330 0.330 0.999
0.401 0.819 0.500
0.599 0.181 0.500
0.670 0.670 0.001
0.819 0.401 0.500
0.865 0.865 0.000
```

Most stable: model one (next structure +234 meV/atom)

Model one:
Compound: TbNd2Tm9
Source: Alexandria via LeMat-Bulk
Functional: GGA-PBE
Structure: optimized geometry

Symmetry = P6/mmm, No. 191
Crystal system = hexagonal
M_tot = 0.000 μB per formula unit

Geometry as POSCAR:
```
TbNd2Tm9
1.0
11.156 0.000 0.000
-5.578 9.662 0.000
0.000 0.000 3.478
Tb Nd Tm
1 2 9
direct
0.000 0.000 0.000
0.333 0.667 0.000
0.667 0.333 0.000
0.000 0.500 0.000
0.175 0.349 0.500
0.175 0.825 0.500
0.349 0.175 0.500
0.500 0.000 0.000
0.500 0.500 0.000
0.651 0.825 0.500
0.825 0.175 0.500
0.825 0.651 0.500
```

Model two:
Compound: TbNd2Tm9
Source: Alexandria via LeMat-Bulk
Functional: GGA-PBE
Structure: optimized geometry

Symmetry = P4/mmm, No. 123
Crystal system = tetragonal
M_tot = 0.000 μB per formula unit

Geometry as POSCAR:
```
TbNd2Tm9
1.0
4.987 0.000 0.000
0.000 4.987 0.000
0.000 0.000 14.955
Tb Nd Tm
1 2 9
direct
0.000 0.000 0.000
0.000 0.000 0.333
0.000 0.000 0.667
0.000 0.500 0.165
0.000 0.500 0.500
0.000 0.500 0.835
0.500 0.000 0.165
0.500 0.000 0.500
0.500 0.000 0.835
0.500 0.500 0.000
0.500 0.500 0.332
0.500 0.500 0.668
```

Most stable: model two (next structure +46 meV/atom)

Model one:
Compound: TbNd6Tm2
Source: Alexandria via LeMat-Bulk
Functional: GGA-PBE
Structure: optimized geometry

Symmetry = C2/c, No. 15
Crystal system = monoclinic
M_tot = 0.000 μB per formula unit

Geometry as POSCAR:
```
TbNd6Tm2
1.0
11.009 -4.945 0.000
11.009 4.945 0.000
-1.495 0.000 5.541
Tb Nd Tm
2 12 4
direct
0.249 0.751 0.750
0.751 0.249 0.250
0.001 0.169 0.832
0.079 0.581 0.580
0.169 0.001 0.332
0.334 0.497 0.162
0.419 0.921 0.920
0.497 0.334 0.662
0.503 0.666 0.338
0.581 0.079 0.080
0.666 0.503 0.838
0.831 0.999 0.668
0.921 0.419 0.420
0.999 0.831 0.168
0.167 0.333 0.002
0.333 0.167 0.502
0.667 0.833 0.498
0.833 0.667 0.998
```

Model two:
Compound: TbNd6Tm2
Source: Alexandria via LeMat-Bulk
Functional: GGA-PBE
Structure: optimized geometry

Symmetry = C2/c, No. 15
Crystal system = monoclinic
M_tot = 0.000 μB per formula unit

Geometry as POSCAR:
```
TbNd6Tm2
1.0
8.215 -5.923 0.000
8.215 5.923 0.000
-0.670 0.000 6.213
Tb Nd Tm
2 12 4
direct
0.100 0.900 0.750
0.900 0.100 0.250
0.021 0.739 0.181
0.075 0.357 0.346
0.261 0.979 0.319
0.312 0.592 0.486
0.357 0.075 0.846
0.408 0.688 0.014
0.592 0.312 0.986
0.643 0.925 0.154
0.688 0.408 0.514
0.739 0.021 0.681
0.925 0.643 0.654
0.979 0.261 0.819
0.234 0.434 0.915
0.434 0.234 0.415
0.566 0.766 0.585
0.766 0.566 0.085
```

Most stable: model one (next structure +25 meV/atom)

Model one:
Compound: Tb5NdTm5
Source: Alexandria via LeMat-Bulk
Functional: GGA-PBE
Structure: optimized geometry

Symmetry = P-1, No. 2
Crystal system = triclinic
M_tot = 0.000 μB per formula unit

Geometry as POSCAR:
```
Tb5NdTm5
1.0
6.806 0.000 0.000
2.076 6.634 0.000
1.883 1.458 7.925
Tb Nd Tm
5 1 5
direct
0.000 0.000 0.000
0.156 0.131 0.359
0.321 0.268 0.656
0.679 0.732 0.344
0.844 0.869 0.641
0.000 0.500 0.000
0.213 0.639 0.316
0.354 0.753 0.714
0.500 0.000 0.000
0.646 0.247 0.286
0.787 0.361 0.684
```

Model two:
Compound: Tb5NdTm5
Source: Alexandria via LeMat-Bulk
Functional: GGA-PBE
Structure: optimized geometry

Symmetry = P-6m2, No. 187
Crystal system = hexagonal
M_tot = 0.000 μB per formula unit

Geometry as POSCAR:
```
Tb5NdTm5
1.0
6.015 0.000 0.000
-3.007 5.209 0.000
0.000 0.000 11.668
Tb Nd Tm
5 1 5
direct
0.000 0.000 0.000
0.333 0.667 0.321
0.333 0.667 0.679
0.667 0.333 0.155
0.667 0.333 0.845
0.333 0.667 0.000
0.000 0.000 0.266
0.000 0.000 0.734
0.333 0.167 0.500
0.833 0.167 0.500
0.833 0.667 0.500
```

Most stable: model one (next structure +168 meV/atom)

Model one:
Compound: Tb4Nd3Tm
Source: Alexandria via LeMat-Bulk
Functional: GGA-PBE
Structure: optimized geometry

Symmetry = Pmn2_1, No. 31
Crystal system = orthorhombic
M_tot = 0.000 μB per formula unit

Geometry as POSCAR:
```
Tb4Nd3Tm
1.0
11.633 0.000 0.000
0.000 6.248 0.000
0.000 0.000 7.229
Tb Nd Tm
8 6 2
direct
0.000 0.167 0.000
0.000 0.667 0.250
0.249 0.500 0.499
0.251 0.500 0.999
0.500 0.333 0.750
0.500 0.833 0.500
0.749 0.500 0.999
0.751 0.500 0.499
0.000 0.667 0.749
0.249 0.998 0.249
0.251 0.002 0.749
0.500 0.333 0.249
0.749 0.002 0.749
0.751 0.998 0.249
0.000 0.167 0.498
0.500 0.833 0.998
```

Model two:
Compound: Tb4Nd3Tm
Source: Alexandria via LeMat-Bulk
Functional: GGA-PBE
Structure: optimized geometry

Symmetry = Immm, No. 71
Crystal system = orthorhombic
M_tot = 0.000 μB per formula unit

Geometry as POSCAR:
```
Tb4Nd3Tm
1.0
3.495 0.000 0.000
0.000 11.725 0.000
0.000 0.000 13.037
Tb Nd Tm
8 6 2
direct
0.000 0.245 0.134
0.000 0.245 0.866
0.000 0.755 0.134
0.000 0.755 0.866
0.500 0.255 0.366
0.500 0.255 0.634
0.500 0.745 0.366
0.500 0.745 0.634
0.000 0.000 0.500
0.000 0.500 0.258
0.000 0.500 0.742
0.500 0.000 0.242
0.500 0.000 0.758
0.500 0.500 0.000
0.000 0.000 0.000
0.500 0.500 0.500
```

Most stable: model one (next structure +122 meV/atom)

Model one:
Compound: TbNd2Tm8
Source: Alexandria via LeMat-Bulk
Functional: GGA-PBE
Structure: optimized geometry

Symmetry = C2/m, No. 12
Crystal system = monoclinic
M_tot = 0.000 μB per formula unit

Geometry as POSCAR:
```
TbNd2Tm8
1.0
8.206 -3.279 0.000
8.206 3.279 0.000
-1.168 0.000 6.512
Tb Nd Tm
1 2 8
direct
0.000 0.000 0.000
0.245 0.245 0.311
0.755 0.755 0.689
0.175 0.653 0.599
0.200 0.200 0.802
0.347 0.825 0.401
0.412 0.412 0.095
0.588 0.588 0.905
0.653 0.175 0.599
0.800 0.800 0.198
0.825 0.347 0.401
```

Model two:
Compound: TbNd2Tm8
Source: Alexandria via LeMat-Bulk
Functional: GGA-PBE
Structure: optimized geometry

Symmetry = C2/m, No. 12
Crystal system = monoclinic
M_tot = 0.000 μB per formula unit

Geometry as POSCAR:
```
TbNd2Tm8
1.0
4.506 -7.957 0.000
4.506 7.957 0.000
-3.202 0.000 4.888
Tb Nd Tm
1 2 8
direct
0.000 0.000 0.000
0.307 0.693 0.500
0.693 0.307 0.500
0.098 0.330 0.674
0.208 0.792 0.000
0.330 0.098 0.674
0.431 0.431 0.204
0.569 0.569 0.796
0.670 0.902 0.326
0.792 0.208 0.000
0.902 0.670 0.326
```

Most stable: model two (next structure +15 meV/atom)